1.
DFT (PBE-GGA) results for a relaxed structure of NiSnGe3.

The structure in CIF format:
```
data_NiSnGe3
_symmetry_space_group_name_H-M 'P m -3 m'
_symmetry_Int_Tables_number 221
_symmetry_space_group_name_Hall '-P 4 2 3'
_cell_length_a 4.685
_cell_length_b 4.685
_cell_length_c 4.685
_cell_angle_alpha 90.00
_cell_angle_beta 90.00
_cell_angle_gamma 90.00
loop_
_atom_site_label
_atom_site_fract_x
_atom_site_fract_y
_atom_site_fract_z
_atom_site_occupancy
Ni1 0.000 0.000 0.000 1
Sn1 0.500 0.500 0.500 1
Ge1 0.000 0.000 0.500 1
```

Output
energy above the lowest structure with this stoichiometry: 0 meV per atom
energy relative to the elements: 4.4 kcal/mol of atoms
DOS(E_F): 1.281 states/eV/f.u.

2.
DFT (PBE-GGA) results for a relaxed structure of Ni6SnGe.

The structure in CIF format:
```
data_Ni6SnGe
_symmetry_space_group_name_H-M 'P -6 m 2'
_symmetry_Int_Tables_number 187
_symmetry_space_group_name_Hall 'P -6 2'
_cell_length_a 5.2064
_cell_length_b 5.2064
_cell_length_c 4.1764
_cell_angle_alpha 90.00
_cell_angle_beta 90.00
_cell_angle_gamma 120.00
loop_
_atom_site_label
_atom_site_fract_x
_atom_site_fract_y
_atom_site_fract_z
_atom_site_occupancy
Ni1 0.0005 0.5002 0.0000 1
Ni2 0.1735 0.3470 0.5000 1
Sn1 0.0000 0.0000 0.0000 1
Ge1 0.6667 0.3333 0.5000 1
```

Output
energy above the lowest structure with this stoichiometry: 39 meV per atom
energy relative to the elements: -4.4 kcal/mol of atoms
DOS(E_F): 7.205 states/eV/f.u.